Record 1
The following is a PBE calculation of crystalline Zr2B2Ru at its relaxed geometry, from the Alexandria database.

Summary:
V in Å³/cell: 145
E above lowest polymorph in meV per atom: 1091
Calculated density in g cm⁻³: 6.98

Cell lengths 3.8473, 3.8473, 9.8155 Å; angles 90.00, 90.00, 90.00 degrees
Last column: nearest neighbours and their distance in Å.
Space group I4/mmm (No. 139)
Inequivalent atoms, fractional coordinates:
Zr: 0.0000 0.5000 0.2500 (multiplicity 4)  4 B 2.54, 4 Zr 2.72
B: 0.0000 0.0000 0.0813 (multiplicity 4)  1 B 1.60
Ru: 0.0000 0.0000 0.5000 (multiplicity 2)  8 B 2.84, 8 Zr 3.12


Record 2
The following is a PBE calculation of crystalline ZrB3Ru at its relaxed geometry, from the Alexandria database.

Summary:
V in Å³/cell: 72
E above lowest polymorph in meV per atom: 1612
Calculated density in g cm⁻³: 5.21

Cell lengths 4.1525, 4.1525, 4.1525 Å; angles 90.00, 90.00, 90.00 degrees
Last column: nearest neighbours and their distance in Å.
Space group Pm-3m (No. 221)
Inequivalent atoms, fractional coordinates:
Zr: 0.0000 0.0000 0.0000 (multiplicity 1)  6 B 2.08
B: 0.0000 0.0000 0.5000 (multiplicity 3)  2 Zr 2.08
Ru: 0.5000 0.5000 0.5000 (multiplicity 1)  12 B 2.94


Record 3
The following is a PBE calculation of crystalline ZrBRu at its relaxed geometry, from the Alexandria database.

Summary:
V in Å³/cell: 84
E above lowest polymorph in meV per atom: 109
Calculated density in g cm⁻³: 8.08

Cell lengths 4.7339, 3.1542, 5.6469 Å; angles 90.00, 97.90, 90.00 degrees
Last column: nearest neighbours and their distance in Å.
Space group P2_1/m (No. 11)
Inequivalent atoms, fractional coordinates:
Zr: 0.0725 0.2500 0.2693 (multiplicity 2)  4 B 2.51-2.63, 2 Ru 2.79
B: 0.3937 0.7500 0.5270 (multiplicity 2)  2 B 1.92
Ru: 0.4191 0.2500 0.8038 (multiplicity 2)  3 B 2.17-2.21


Record 4
The following is a PBE calculation of crystalline ZrBRu2 at its relaxed geometry, from the Alexandria database.

Summary:
V in Å³/cell: 234
Calculated density in g cm⁻³: 8.64
Calculated total energy in eV per atom: -8.70

Cell lengths 6.8346, 6.8346, 5.0068 Å; angles 90.00, 90.00, 90.00 degrees
Last column: nearest neighbours and their distance in Å.
Space group I-42d (No. 122)
Inequivalent atoms, fractional coordinates:
Zr: 0.0000 0.0000 0.0000 (multiplicity 4)  2 B 2.50, 4 Ru 2.74
B: 0.0000 0.0000 0.5000 (multiplicity 4)  4 Ru 2.09
Ru: 0.1498 0.7500 0.6250 (multiplicity 8)  2 B 2.09